Entry 1:
Below is a relaxed Y3PbW crystal, with properties calculated at the PBE level.

For the formation enthalpy at 0 K, the calculation gives 0.4351 eV/atom. The volume comes out at 158.4 Å³/cell. As for the theoretical density: 6.89 g cm⁻³. For the density of states at the Fermi level, the calculation gives 5.06 states/eV/f.u. The value obtained for the energy above the lowest structure with this stoichiometry is 0.0 meV per atom.

It has space group Pm-3m (No. 221), with a = 5.411 Å, b = 5.411 Å, c = 5.411 Å, α = 90.00°, β = 90.00° and γ = 90.00°. The asymmetric unit holds Y at (0.000, 0.000, 0.500), Pb at (0.500, 0.500, 0.500) and W at (0.000, 0.000, 0.000).

=====

Entry 2:
Below is a relaxed Y2PbW2 crystal, with properties calculated at the PBE level.

For the formation enthalpy at 0 K, the calculation gives 0.3547 eV/atom. The volume comes out at 242.7 Å³/cell. As for the theoretical density: 10.30 g cm⁻³. For the density of states at the Fermi level, the calculation gives 3.48 states/eV/f.u. The value obtained for the energy above the lowest structure with this stoichiometry is 0.0 meV per atom.

It has space group P4/mbm (No. 127), with a = 7.331 Å, b = 7.331 Å, c = 4.517 Å, α = 90.00°, β = 90.00° and γ = 90.00°. The asymmetric unit holds Y at (0.173, 0.327, 0.000), Pb at (0.000, 0.000, 0.500) and W at (0.115, 0.615, 0.500).

=====

Entry 3:
Below is a relaxed YPb2W crystal, with properties calculated at the PBE level.

For the formation enthalpy at 0 K, the calculation gives 0.4630 eV/atom. The volume comes out at 371.0 Å³/cell. As for the theoretical density: 12.30 g cm⁻³. For the density of states at the Fermi level, the calculation gives 3.45 states/eV/f.u. The value obtained for the energy above the lowest structure with this stoichiometry is 45.7 meV per atom.

It has space group Fm-3m (No. 225), with a = 7.186 Å, b = 7.186 Å, c = 7.186 Å, α = 90.00°, β = 90.00° and γ = 90.00°. The asymmetric unit holds Y at (0.000, 0.000, 0.000), Pb at (0.250, 0.250, 0.250) and W at (0.000, 0.000, 0.500).

=====

Entry 4:
Below is a relaxed ZnPb2W crystal, with properties calculated at the PBE level.

For the formation enthalpy at 0 K, the calculation gives 0.7663 eV/atom. The volume comes out at 85.1 Å³/cell. As for the theoretical density: 12.95 g cm⁻³. For the density of states at the Fermi level, the calculation gives 2.27 states/eV/f.u.

It has space group P4/mmm (No. 123), with a = 3.710 Å, b = 3.710 Å, c = 6.182 Å, α = 90.00°, β = 90.00° and γ = 90.00°. The asymmetric unit holds Zn at (0.000, 0.000, 0.000), Pb at (0.500, 0.500, 0.255) and W at (0.000, 0.000, 0.500).

=====

Entry 5:
Below is a relaxed Zn2PbW2 crystal, with properties calculated at the PBE level.

For the formation enthalpy at 0 K, the calculation gives 0.6403 eV/atom. The volume comes out at 182.4 Å³/cell. As for the theoretical density: 12.85 g cm⁻³. For the density of states at the Fermi level, the calculation gives 1.78 states/eV/f.u. The value obtained for the energy above the lowest structure with this stoichiometry is 0.0 meV per atom.

It has space group P4/mbm (No. 127), with a = 7.225 Å, b = 7.225 Å, c = 3.493 Å, α = 90.00°, β = 90.00° and γ = 90.00°. The asymmetric unit holds Zn at (0.171, 0.329, 0.000), Pb at (0.000, 0.000, 0.500) and W at (0.120, 0.620, 0.500).

=====

Entry 6:
Below is a relaxed ZnPb4W crystal, with properties calculated at the PBE level.

For the formation enthalpy at 0 K, the calculation gives 1.1501 eV/atom. The volume comes out at 711.8 Å³/cell. As for the theoretical density: 10.06 g cm⁻³. For the density of states at the Fermi level, the calculation gives 3.93 states/eV/f.u.

It has space group F-43m (No. 216), with a = 8.929 Å, b = 8.929 Å, c = 8.929 Å, α = 90.00°, β = 90.00° and γ = 90.00°. The asymmetric unit holds Zn at (0.000, 0.000, 0.000), Pb at (0.124, 0.124, 0.624) and W at (0.250, 0.250, 0.250).

=====

Entry 7:
Below is a relaxed ZnPb2W crystal, with properties calculated at the PBE level.

For the formation enthalpy at 0 K, the calculation gives 1.1060 eV/atom. The volume comes out at 369.3 Å³/cell. As for the theoretical density: 11.94 g cm⁻³. For the density of states at the Fermi level, the calculation gives 3.32 states/eV/f.u.

It has space group F-43m (No. 216), with a = 7.175 Å, b = 7.175 Å, c = 7.175 Å, α = 90.00°, β = 90.00° and γ = 90.00°. The asymmetric unit holds Zn at (0.000, 0.000, 0.000), Pb at (0.000, 0.000, 0.500), Pb at (0.250, 0.250, 0.250) and W at (0.250, 0.250, 0.750).

=====

Entry 8:
Below is a relaxed ZnPb2W crystal, with properties calculated at the PBE level.

For the formation enthalpy at 0 K, the calculation gives 0.5757 eV/atom. The volume comes out at 186.5 Å³/cell. As for the theoretical density: 11.82 g cm⁻³. For the density of states at the Fermi level, the calculation gives 1.40 states/eV/f.u.

It has space group Cmm2 (No. 35), with a = 3.749 Å, b = 4.825 Å, c = 10.309 Å, α = 90.00°, β = 90.00° and γ = 90.00°. The asymmetric unit holds Zn at (0.000, 0.000, 0.000), Pb at (0.000, 0.000, 0.590), Pb at (0.000, 0.500, 0.227) and W at (0.000, 0.500, 0.818).

=====

Entry 9:
Below is a relaxed ZnPb2W crystal, with properties calculated at the PBE level.

For the formation enthalpy at 0 K, the calculation gives 0.9282 eV/atom. The volume comes out at 172.6 Å³/cell. As for the theoretical density: 12.77 g cm⁻³. For the density of states at the Fermi level, the calculation gives 3.11 states/eV/f.u.

It has space group I-4m2 (No. 119), with a = 4.232 Å, b = 4.232 Å, c = 9.637 Å, α = 90.00°, β = 90.00° and γ = 90.00°. The asymmetric unit holds Zn at (0.000, 0.000, 0.000), Pb at (0.000, 0.000, 0.500), Pb at (0.000, 0.500, 0.750) and W at (0.000, 0.500, 0.250).

=====

Entry 10:
Below is a relaxed ZnPb2W crystal, with properties calculated at the PBE level.

For the formation enthalpy at 0 K, the calculation gives 0.7345 eV/atom. The volume comes out at 286.8 Å³/cell. As for the theoretical density: 11.53 g cm⁻³. For the density of states at the Fermi level, the calculation gives 4.71 states/eV/f.u.

It has space group R-3m (No. 166, hexagonal axes), with a = 3.1459 Å, b = 3.1459 Å, c = 33.4595 Å, α = 90.00°, β = 90.00° and γ = 120.00°. The asymmetric unit holds Zn at (0.0000, 0.0000, 0.0000), Pb at (0.0000, 0.0000, 0.2411) and W at (0.0000, 0.0000, 0.5000).

=====

Entry 11:
Below is a relaxed ZnPb2W crystal, with properties calculated at the PBE level.

For the formation enthalpy at 0 K, the calculation gives 0.7190 eV/atom. The volume comes out at 192.1 Å³/cell. As for the theoretical density: 11.47 g cm⁻³. For the density of states at the Fermi level, the calculation gives 1.40 states/eV/f.u.

It has space group Cmmm (No. 65), with a = 3.616 Å, b = 4.946 Å, c = 10.743 Å, α = 90.00°, β = 90.00° and γ = 90.00°. The asymmetric unit holds Zn at (0.000, 0.000, 0.000), Pb at (0.000, 0.500, 0.279) and W at (0.000, 0.000, 0.500).

=====

Entry 12:
Below is a relaxed ZnPb2W crystal, with properties calculated at the PBE level.

For the formation enthalpy at 0 K, the calculation gives 0.9499 eV/atom. The volume comes out at 87.6 Å³/cell. As for the theoretical density: 12.58 g cm⁻³. For the density of states at the Fermi level, the calculation gives 2.69 states/eV/f.u.

It has space group Pmmm (No. 47), with a = 3.288 Å, b = 4.829 Å, c = 5.514 Å, α = 90.00°, β = 90.00° and γ = 90.00°. The asymmetric unit holds Zn at (0.000, 0.000, 0.000), Pb at (0.000, 0.500, 0.500), Pb at (0.500, 0.500, 0.000) and W at (0.500, 0.000, 0.500).